PrSmSeBr after structural relaxation. Source: Alexandria via LeMat-Bulk, functional PBE.

The calculation puts the energy relative to the elements, uncorrected at -1337 meV/atom. As for the theoretical density: 7.57 g/cm3. The calculation puts the calculated total energy at -20.0 eV/f.u. The symmetry is F-43m (216).

Unit cell a=5.187 b=5.187 c=5.187 alpha=60.00 beta=60.00 gamma=60.00
Sites, in units of the cell vectors:
Pr (0.000, 0.000, 0.000)
Br (0.250, 0.250, 0.250)
Se (0.750, 0.750, 0.750)
Sm (0.500, 0.500, 0.500)